Record 1
The following is a GGA-PBE calculation of crystalline BRh3Pb at its relaxed geometry, from Alexandria via LeMat-Bulk.

Its space group is No. 166. The formation energy comes out at -0.216 eV/atom. The total magnetization comes out at 0.00 μB/atom.

a b c (Å): 6.308 5.690 5.690
angles (deg): 120.00 90.00 63.19
Sites, in units of the cell vectors:
B (0.767, 0.507, 0.858)
B (0.747, 0.187, 0.198)
Rh (0.017, 0.169, 0.946)
Rh (0.497, 0.012, 0.110)
Rh (0.017, 0.682, 0.946)
Rh (0.497, 0.525, 0.624)
Rh (0.497, 0.525, 0.110)
Rh (0.017, 0.169, 0.432)
Pb (0.068, 0.640, 0.424)
Pb (0.446, 0.054, 0.632)

=====

Record 2
The following is a GGA-PBE calculation of crystalline RbCaGa4 at its relaxed geometry, from Alexandria via LeMat-Bulk.

Its space group is No. 216. The formation energy comes out at -0.169 eV/atom. The total magnetization comes out at 0.00 μB/atom.

a b c (Å): 5.853 5.853 5.853
angles (deg): 60.00 60.00 60.00
Sites, in units of the cell vectors:
Ga (0.626, 0.626, 0.123)
Ga (0.123, 0.626, 0.626)
Ga (0.626, 0.626, 0.626)
Ga (0.626, 0.123, 0.626)
Rb (0.250, 0.250, 0.250)
Ca (0.000, 0.000, 0.000)

=====

Record 3
The following is a GGA-PBE calculation of crystalline SrAg2Pd at its relaxed geometry, from Alexandria via LeMat-Bulk.

Its space group is No. 62. The formation energy comes out at -0.338 eV/atom. The total magnetization comes out at 0.00 μB/atom.

a b c (Å): 5.674 7.782 16.564
angles (deg): 90.00 90.00 90.00
Sites, in units of the cell vectors:
Pd (0.706, 0.750, 0.182)
Pd (0.472, 0.750, 0.432)
Pd (0.206, 0.250, 0.318)
Pd (0.294, 0.250, 0.818)
Pd (0.528, 0.250, 0.568)
Pd (0.028, 0.750, 0.932)
Pd (0.794, 0.750, 0.682)
Pd (0.972, 0.250, 0.068)
Ag (0.066, 0.943, 0.788)
Ag (0.236, 0.059, 0.463)
Ag (0.764, 0.941, 0.537)
Ag (0.264, 0.059, 0.963)
Ag (0.236, 0.441, 0.463)
Ag (0.764, 0.559, 0.537)
Ag (0.934, 0.443, 0.212)
Ag (0.736, 0.559, 0.037)
Ag (0.434, 0.943, 0.288)
Ag (0.264, 0.441, 0.963)
Ag (0.736, 0.941, 0.037)
Ag (0.066, 0.557, 0.788)
Ag (0.566, 0.443, 0.712)
Ag (0.934, 0.057, 0.212)
Ag (0.434, 0.557, 0.288)
Ag (0.566, 0.057, 0.712)
Sr (0.455, 0.250, 0.143)
Sr (0.045, 0.250, 0.643)
Sr (0.223, 0.750, 0.107)
Sr (0.955, 0.750, 0.357)
Sr (0.723, 0.250, 0.393)
Sr (0.277, 0.750, 0.607)
Sr (0.777, 0.250, 0.893)
Sr (0.545, 0.750, 0.857)

=====

Record 4
The following is a GGA-PBE calculation of crystalline TaGa3Au at its relaxed geometry, from Alexandria via LeMat-Bulk.

Its space group is No. 221. The formation energy comes out at 0.969 eV/atom. The total magnetization comes out at 0.24 μB/atom.

a b c (Å): 4.836 4.836 4.836
angles (deg): 90.00 90.00 90.00
Sites, in units of the cell vectors:
Ta (0.500, 0.500, 0.500)
Au (0.000, 0.000, 0.000)
Ga (0.000, 0.500, 0.000)
Ga (0.000, 0.000, 0.500)
Ga (0.500, 0.000, 0.000)

=====

Record 5
The following is a GGA-PBE calculation of crystalline Tb4ReI5 at its relaxed geometry, from Alexandria via LeMat-Bulk.

Its space group is No. 12. The raw formation energy is -909 meV/atom. The total magnetization comes out at 0.00 μB/atom.

a b c (Å): 4.016 9.506 9.988
angles (deg): 103.38 101.60 90.00
Sites, in units of the cell vectors:
I (0.167, 0.329, 0.334)
I (0.500, 0.500, 0.000)
I (0.833, 0.671, 0.666)
I (0.829, 0.160, 0.658)
I (0.171, 0.840, 0.342)
Tb (0.364, 0.930, 0.727)
Tb (0.000, 0.222, 0.000)
Tb (0.000, 0.778, 0.000)
Tb (0.636, 0.070, 0.273)
Re (0.500, 0.000, 0.000)

=====

Record 6
The following is a GGA-PBE calculation of crystalline PrCd2GePt2 at its relaxed geometry, from Alexandria via LeMat-Bulk.

Its space group is No. 139. The formation energy comes out at -0.273 eV/atom. The total magnetization comes out at 0.00 μB/atom.

a b c (Å): 5.320 5.320 6.523
angles (deg): 114.07 114.07 90.00
Sites, in units of the cell vectors:
Ge (0.000, 0.000, 0.000)
Pr (0.500, 0.500, 0.000)
Pt (0.221, 0.221, 0.442)
Pt (0.779, 0.779, 0.558)
Cd (0.250, 0.750, 0.500)
Cd (0.750, 0.250, 0.500)